## CoH2O (PBE with a Hubbard U)

Data for a geometry-optimized CoH2O structure.

a b c (Å): 4.616 4.616 4.616
angles (deg): 90.00 90.00 90.00
Space group Fm-3m (No. 225)
Unique sites:
Co (0.000, 0.000, 0.000) [4 per cell]
H (0.250, 0.250, 0.250) [8 per cell]
O (0.000, 0.000, 0.500) [4 per cell]

Summary:
total energy	-3.671	eV per atom